(1)
DFT (PBE) results for crystalline CaFeSe2 at its relaxed geometry.

The energy relative to the lowest polymorph listed for this composition is 1.31 eV per formula unit. As for the calculated density: 4.831 Mg/m³.

The space group is Cmmm (No. 65) and the conventional cell measures 4.168, 5.922 and 7.070 Å, with angles of 90.00, 90.00 and 90.00 degrees. Symmetry generates all atoms from Ca at (0.000, 0.000, 0.000), Fe at (0.000, 0.000, 0.500) and Se at (0.000, 0.500, 0.275).

---

(2)
DFT (PBE) results for crystalline CaFeSe2 at its relaxed geometry.

The energy relative to the lowest polymorph listed for this composition is 0.24 eV per formula unit. As for the calculated density: 3.709 Mg/m³.

The space group is I-42d (No. 122) and the conventional cell measures 6.283, 6.283 and 11.515 Å, with angles of 90.00, 90.00 and 90.00 degrees. Symmetry generates all atoms from Ca at (0.000, 0.000, 0.000), Fe at (0.000, 0.000, 0.500) and Se at (0.198, 0.250, 0.625).

---

(3)
DFT (PBE) results for crystalline CaFeSe2 at its relaxed geometry.

The energy relative to the lowest polymorph listed for this composition is 1.38 eV per formula unit. As for the calculated density: 5.195 Mg/m³.

The space group is Fm-3m (No. 225) and the conventional cell measures 6.872, 6.872 and 6.872 Å, with angles of 90.00, 90.00 and 90.00 degrees. Symmetry generates all atoms from Ca at (0.000, 0.000, 0.000), Fe at (0.000, 0.000, 0.500) and Se at (0.250, 0.250, 0.250).

---

(4)
DFT (PBE) results for crystalline CaFeSe2 at its relaxed geometry.

The energy relative to the lowest polymorph listed for this composition is 1.67 eV per formula unit. As for the calculated density: 4.426 Mg/m³.

The space group is I-4m2 (No. 119) and the conventional cell measures 3.860, 3.860 and 12.784 Å, with angles of 90.00, 90.00 and 90.00 degrees. Symmetry generates all atoms from Ca at (0.000, 0.000, 0.000), Fe at (0.000, 0.500, 0.750), Se at (0.000, 0.000, 0.500) and Se at (0.000, 0.500, 0.250).

---

(5)
DFT (PBE) results for crystalline CaFeSe2 at its relaxed geometry.

The energy relative to the lowest polymorph listed for this composition is 2.29 eV per formula unit. As for the calculated density: 4.375 Mg/m³.

The space group is R-3m (No. 166, hexagonal axes) and the conventional cell measures 3.6784, 3.6784 and 24.6690 Å, with angles of 90.00, 90.00 and 120.00 degrees. Symmetry generates all atoms from Ca at (0.0000, 0.0000, 0.0000), Fe at (0.0000, 0.0000, 0.5000) and Se at (0.0000, 0.0000, 0.1167).

---

(6)
DFT (PBE) results for crystalline Ca2FeTeSe at its relaxed geometry.

The total energy comes out at -22.6 eV per cell. As for the calculated density: 4.079 Mg/m³.

The space group is P4/mmm (No. 123) and the conventional cell measures 5.627, 5.627 and 4.404 Å, with angles of 90.00, 90.00 and 90.00 degrees. Symmetry generates all atoms from Ca at (0.000, 0.500, 0.000), Fe at (0.000, 0.000, 0.500), Te at (0.500, 0.500, 0.500) and Se at (0.000, 0.000, 0.000).

---

(7)
DFT (PBE) results for crystalline CaVFe2Se at its relaxed geometry.

The total energy comes out at -30.0 eV per cell. As for the calculated density: 4.882 Mg/m³.

The space group is P4/mmm (No. 123) and the conventional cell measures 4.400, 4.400 and 4.949 Å, with angles of 90.00, 90.00 and 90.00 degrees. Symmetry generates all atoms from Ca at (0.000, 0.000, 0.000), V at (0.500, 0.500, 0.500), Fe at (0.000, 0.500, 0.500) and Se at (0.500, 0.500, 0.000).

---

(8)
DFT (PBE) results for crystalline Ca2FeSi at its relaxed geometry.

The total energy comes out at -32.3 eV per cell. As for the calculated density: 2.865 Mg/m³.

The space group is C2/m (No. 12) and the conventional cell measures 9.137, 3.200 and 6.569 Å, with angles of 90.00, 97.98 and 90.00 degrees. Symmetry generates all atoms from Ca at (0.244, 0.000, 0.244), Fe at (0.000, 0.000, 0.500) and Si at (0.000, 0.500, 0.000).

---

(9)
DFT (PBE) results for crystalline CaFe2Si at its relaxed geometry.

The total energy comes out at -46.7 eV per cell. As for the calculated density: 4.763 Mg/m³.

The space group is Imm2 (No. 44) and the conventional cell measures 2.933, 4.667 and 9.162 Å, with angles of 90.00, 90.00 and 90.00 degrees. Symmetry generates all atoms from Ca at (0.000, 0.000, 0.000), Fe at (0.000, 0.000, 0.493), Fe at (0.000, 0.500, 0.210) and Si at (0.000, 0.500, 0.786).

---

(10)
DFT (PBE) results for crystalline Ca2FeSi at its relaxed geometry.

The total energy comes out at -73.9 eV per cell. As for the calculated density: 2.766 Mg/m³.

The space group is Cm (No. 8) and the conventional cell measures 12.912, 3.825 and 8.206 Å, with angles of 90.00, 103.55 and 90.00 degrees. Symmetry generates all atoms from Ca at (0.000, 0.000, 0.000), Ca at (0.082, 0.000, 0.472), Ca at (0.218, 0.500, 0.900), Ca at (0.356, 0.000, 0.547), Fe at (0.246, 0.000, 0.196), Fe at (0.452, 0.000, 0.246), Si at (0.143, 0.500, 0.231) and Si at (0.353, 0.500, 0.246).

---

(11)
DFT (PBE) results for crystalline Ca2FeSi2 at its relaxed geometry.

The total energy comes out at -41.6 eV per cell. As for the calculated density: 2.706 Mg/m³.

The space group is I4/mmm (No. 139) and the conventional cell measures 4.435, 4.435 and 11.988 Å, with angles of 90.00, 90.00 and 90.00 degrees. Symmetry generates all atoms from Ca at (0.000, 0.500, 0.250), Fe at (0.000, 0.000, 0.000) and Si at (0.000, 0.000, 0.409).

---

(12)
DFT (PBE) results for crystalline Ca2FeSi at its relaxed geometry.

The total energy comes out at -68.5 eV per cell. As for the calculated density: 3.502 Mg/m³.

The space group is F-43m (No. 216) and the conventional cell measures 6.777, 6.777 and 6.777 Å, with angles of 90.00, 90.00 and 90.00 degrees. Symmetry generates all atoms from Ca at (0.000, 0.000, 0.000), Ca at (0.250, 0.250, 0.250), Fe at (0.250, 0.250, 0.750) and Si at (0.000, 0.000, 0.500).